1.
! PrB3O6 (GGA-PBE, optimized geometry); values from VASP
! E_tot = -8.196 eV/atom
! Formation energy from raw total energies = -2.74 eV per atom
! Calculated volume = 211.4 Å³/cell
&SYSTEM
  ibrav = 0, nat = 20, ntyp = 3
/
ATOMIC_SPECIES
O 16.00 O.upf
B 10.81 B.upf
Pr 140.91 Pr.upf
ATOMIC_POSITIONS crystal
O 0.719 0.491 0.787
O 0.116 0.290 0.997
O 0.884 0.710 0.003
O 0.290 0.116 0.497
O 0.288 0.916 0.008
O 0.281 0.509 0.213
O 0.084 0.712 0.492
O 0.916 0.288 0.508
O 0.710 0.884 0.503
O 0.491 0.719 0.287
O 0.712 0.084 0.992
O 0.509 0.281 0.713
B 0.159 0.295 0.416
B 0.295 0.159 0.916
B 0.705 0.841 0.084
B 0.723 0.277 0.750
B 0.841 0.705 0.584
B 0.277 0.723 0.250
Pr 0.299 0.701 0.750
Pr 0.701 0.299 0.250
CELL_PARAMETERS angstrom
6.450 0.000 0.000
1.236 6.331 0.000
3.014 2.483 5.177

=====

2.
! PrB4Pt3O12 (GGA-PBE, optimized geometry); values from VASP
! E_tot = -7.063 eV/atom
! Formation energy from raw total energies = -1.61 eV per atom
! Calculated volume = 229.1 Å³/cell
&SYSTEM
  ibrav = 0, nat = 20, ntyp = 4
/
ATOMIC_SPECIES
B 10.81 B.upf
O 16.00 O.upf
Pt 195.08 Pt.upf
Pr 140.91 Pr.upf
ATOMIC_POSITIONS crystal
B 0.950 0.050 0.500
B 0.050 0.500 0.950
B 0.500 0.950 0.050
B 0.500 0.500 0.500
O 0.029 0.633 0.805
O 0.633 0.805 0.029
O 0.359 0.641 0.500
O 0.805 0.029 0.633
O 0.195 0.367 0.971
O 0.500 0.094 0.906
O 0.906 0.500 0.094
O 0.500 0.359 0.641
O 0.971 0.195 0.367
O 0.367 0.971 0.195
O 0.641 0.500 0.359
O 0.094 0.906 0.500
Pt 0.454 0.000 0.546
Pt 0.000 0.546 0.454
Pt 0.546 0.454 0.000
Pr 0.000 0.000 0.000
CELL_PARAMETERS angstrom
6.295 0.083 0.115
-1.436 6.130 0.115
-1.436 -1.836 5.849

=====

3.
! PrSc3B4O12 (GGA-PBE, optimized geometry); values from VASP
! E_tot = -8.533 eV/atom
! Formation energy from raw total energies = -3.03 eV per atom
! Calculated volume = 226.7 Å³/cell
&SYSTEM
  ibrav = 0, nat = 20, ntyp = 4
/
ATOMIC_SPECIES
B 10.81 B.upf
O 16.00 O.upf
Sc 44.96 Sc.upf
Pr 140.91 Pr.upf
ATOMIC_POSITIONS crystal
B 0.500 0.500 0.500
B 0.049 0.500 0.951
B 0.500 0.951 0.049
B 0.951 0.049 0.500
O 0.628 0.800 0.030
O 0.360 0.640 0.500
O 0.091 0.909 0.500
O 0.800 0.030 0.628
O 0.640 0.500 0.360
O 0.500 0.091 0.909
O 0.200 0.372 0.970
O 0.372 0.970 0.200
O 0.970 0.200 0.372
O 0.909 0.500 0.091
O 0.030 0.628 0.800
O 0.500 0.360 0.640
Sc 0.000 0.547 0.453
Sc 0.547 0.453 0.000
Sc 0.453 0.000 0.547
Pr 0.000 0.000 0.000
CELL_PARAMETERS angstrom
6.305 0.037 0.051
-1.483 6.128 0.051
-1.483 -1.897 5.827